Below is a relaxed structure of Tb3Se2NO, with properties calculated at the GGA-PBEsol level.

Calculated values
DOS at the Fermi energy = 0.00 states/eV per atom
SG = No. 12
raw formation energy = -2.341 eV per atom
theoretical density = 7.8 Mg/m³
raw total energy = -105.79 eV per cell

Structure (extended XYZ):
```
14
Lattice="-1.850 -0.046 3.405 -5.827 -0.328 -5.375 1.564 -9.483 0.722" Properties=species:S:1:pos:R:3 pbc="T T T"
N -0.037 -7.765 -0.124
N -6.076 -2.091 -1.124
O -1.203 -1.367 1.533
O -4.910 -8.490 -2.781
Se -2.645 -1.558 -1.458
Se -3.468 -8.299 0.210
Se -4.179 -5.270 -2.341
Se -1.934 -4.587 1.093
Tb -5.205 -0.796 -2.838
Tb -0.909 -9.060 1.590
Tb -0.217 -2.498 -0.151
Tb -5.896 -7.359 -1.097
Tb -1.601 -6.531 -0.957
Tb -4.512 -3.325 -0.291
```